Entry from the Alexandria database: crystalline YBiAs3 at its relaxed geometry (PBE-GGA).

Geometry as POSCAR:
```
YBiAs3
1.0
5.3366 0.0000 0.0000
0.0000 5.3366 0.0000
0.0000 0.0000 5.3366
Y Bi As
1 1 3
Cartesian
0.0000 0.0000 0.0000
2.6683 2.6683 2.6683
0.0000 2.6683 2.6683
2.6683 0.0000 2.6683
2.6683 2.6683 0.0000
```

Summary:
- Energy above the most stable polymorph in this dataset: 0.134 eV/atom
- Energy of formation: 0.52 eV/atom
- VASP energy: -4.339 eV/atom
- N(E_F): 0.795 states/eV per atom